Below is MnFe2Hg after structural relaxation, with properties calculated at the PBE level.

POSCAR file:
```
MnFe2Hg
1.0
-1.3940 -0.0777 -2.6774
0.1554 -3.0221 0.0068
-5.4925 -3.3035 2.9557
Mn Hg Fe
1 1 2
Direct
0.5000 0.7124 0.7882 Mn
0.0000 0.5055 0.4944 Hg
0.5000 0.2945 0.2050 Fe
0.0000 0.9877 0.0124 Fe
```

Properties
As for the space-group type: P4mm. The calculation puts the total DFT energy (no corrections) at -0.4648 Ry/atom. For the calculated formation energy, the calculation gives 1.10 eV per formula unit.